A geometry-optimized LuTlW2O8 structure, computed with PBE with a Hubbard U.

POSCAR file:
```
LuTlW2O8
1.0
7.6341 0.0516 -0.0275
0.3074 7.6281 -0.0275
3.5075 3.3918 5.6274
O W Tl Lu
16 4 2 2
Cartesian
5.7867 3.4121 4.9810
5.3000 6.0860 5.2681
6.8023 4.9327 3.0315
8.2722 6.5271 1.0955
8.5544 9.7447 3.9092
5.6623 7.6594 0.5914
6.9425 7.6744 3.1179
9.5986 7.0984 3.4051
8.0448 6.1343 5.3546
2.8945 1.3268 1.6632
6.1490 4.9855 0.3042
3.1768 4.5444 4.4769
1.8504 3.9731 2.1673
3.4042 4.9372 0.2178
4.6467 6.1388 2.5409
4.5065 3.3971 2.4544
4.9368 4.7094 3.9786
8.3305 7.9913 4.4074
3.1185 3.0802 1.1649
6.5122 6.3621 1.5937
4.4757 8.5819 4.1930
6.9733 2.4896 1.3793
8.6369 4.2788 4.1930
2.8121 6.7927 1.3793
```

Properties
As for the total energy: -7.3482 eV per atom. As for the space group: C2/c. As for the calculated volume: 13.71 A^3/atom.